(1)
A plane-wave DFT calculation with PBE-GGA was carried out for LiLa3Ag4 after structural relaxation.

Cell: 3.670 3.670 15.006 Å, 90.00 90.00 90.00°
Atoms (fractional coordinates):
1 Li 0.000 0.000 0.000
2 La 0.000 0.000 0.231
3 La 0.000 0.000 0.500
4 La 0.000 0.000 0.769
5 Ag 0.500 0.500 0.094
6 Ag 0.500 0.500 0.366
7 Ag 0.500 0.500 0.634
8 Ag 0.500 0.500 0.906

E   -29.84 eV/cell
Formation energy from the elements   -217.4 meV per atom

(2)
A plane-wave DFT calculation with PBE-GGA was carried out for CaLa2RhPb after structural relaxation.

Cell: 5.471 5.471 5.510 Å, 90.00 90.00 90.00°
Atoms (fractional coordinates):
1 Ca 0.000 0.000 0.000
2 La 0.000 0.500 0.500
3 La 0.500 0.000 0.500
4 Rh 0.000 0.000 0.500
5 Pb 0.500 0.500 0.000

E   -25.51 eV/cell
Formation energy from the elements   -519.5 meV per atom

(3)
A plane-wave DFT calculation with PBE-GGA was carried out for CdGa2Br8 after structural relaxation.

Cell: 10.517 10.517 12.625 Å, 124.54 124.54 51.78°
Atoms (fractional coordinates):
1 Cd 0.005 0.995 0.750
2 Cd 0.995 0.005 0.250
3 Ga 0.159 0.669 0.463
4 Ga 0.331 0.841 0.037
5 Ga 0.669 0.159 0.963
6 Ga 0.841 0.331 0.537
7 Br 0.122 0.190 0.523
8 Br 0.136 0.681 0.269
9 Br 0.156 0.711 0.829
10 Br 0.190 0.122 0.023
11 Br 0.289 0.844 0.671
12 Br 0.301 0.385 0.445
13 Br 0.319 0.864 0.231
14 Br 0.385 0.301 0.945
15 Br 0.615 0.699 0.055
16 Br 0.681 0.136 0.769
17 Br 0.699 0.615 0.555
18 Br 0.711 0.156 0.329
19 Br 0.810 0.878 0.977
20 Br 0.844 0.289 0.171
21 Br 0.864 0.319 0.731
22 Br 0.878 0.810 0.477

E_form (uncorrected)   -884 kJ/mol of formula units
E   -59.02 eV/cell
ΔE to the lowest computed polymorph   0.000 eV per atom

(4)
A plane-wave DFT calculation with PBE-GGA was carried out for AsSeN2 after structural relaxation.

Cell: 5.567 5.567 5.567 Å, 122.59 122.59 85.57°
Atoms (fractional coordinates):
1 As 0.000 0.000 0.000
2 As 0.750 0.250 0.500
3 Se 0.250 0.750 0.500
4 Se 0.500 0.500 0.000
5 N 0.038 0.625 0.913
6 N 0.375 0.288 0.413
7 N 0.712 0.125 0.087
8 N 0.875 0.962 0.587

E_form (uncorrected)   470 kJ/mol of formula units
E   -39.83 eV/cell
ΔE to the lowest computed polymorph   1.124 eV per atom

(5)
A plane-wave DFT calculation with PBE-GGA was carried out for SmGa6Rh2 after structural relaxation.

Cell: 7.226 7.226 7.226 Å, 148.31 125.68 64.27°
Atoms (fractional coordinates):
1 Sm 0.000 0.000 0.000
2 Ga 0.012 0.310 0.702
3 Ga 0.323 0.500 0.823
4 Ga 0.393 0.690 0.702
5 Ga 0.607 0.310 0.298
6 Ga 0.677 0.500 0.177
7 Ga 0.988 0.690 0.298
8 Rh 0.375 0.875 0.500
9 Rh 0.625 0.125 0.500

E   -41.15 eV/cell
Formation energy from the elements   -396.8 meV per atom

(6)
A plane-wave DFT calculation with PBE-GGA was carried out for La2BAs after structural relaxation.

Cell: 6.508 6.508 6.508 Å, 109.65 109.65 109.11°
Atoms (fractional coordinates):
1 La 0.086 0.625 0.961
2 La 0.375 0.336 0.461
3 La 0.664 0.125 0.039
4 La 0.875 0.914 0.539
5 B 0.000 0.000 0.000
6 B 0.750 0.250 0.500
7 As 0.250 0.750 0.500
8 As 0.500 0.500 0.000

E   -44.72 eV/cell
Formation energy from the elements   -294.1 meV per atom
ΔE to the lowest computed polymorph   0.000 eV per atom

(7)
A plane-wave DFT calculation with PBE-GGA was carried out for Sr2TcOs after structural relaxation.

Cell: 5.593 5.593 3.277 Å, 90.00 90.00 120.34°
Atoms (fractional coordinates):
1 Sr 0.000 0.500 0.000
2 Sr 0.500 0.000 0.000
3 Tc 0.000 0.000 0.500
4 Os 0.500 0.500 0.500

E   -20.38 eV/cell
Formation energy from the elements   1144.6 meV per atom
ΔE to the lowest computed polymorph   0.648 eV per atom

(8)
A plane-wave DFT calculation with PBE-GGA was carried out for Rb2TiSnCl6 after structural relaxation.

Cell: 7.549 7.549 7.549 Å, 60.00 60.00 60.00°
Atoms (fractional coordinates):
1 Rb 0.250 0.250 0.250
2 Rb 0.750 0.750 0.750
3 Ti 0.000 0.000 0.000
4 Sn 0.500 0.500 0.500
5 Cl 0.236 0.236 0.764
6 Cl 0.236 0.764 0.236
7 Cl 0.236 0.764 0.764
8 Cl 0.764 0.236 0.236
9 Cl 0.764 0.236 0.764
10 Cl 0.764 0.764 0.236

E_form (uncorrected)   -1427 kJ/mol of formula units
E   -39.70 eV/cell

(9)
A plane-wave DFT calculation with PBE-GGA was carried out for RbTh2UO8 after structural relaxation.

Cell: 4.082 8.017 5.549 Å, 90.00 90.34 90.00°
Atoms (fractional coordinates):
1 Rb 0.000 0.000 0.000
2 Th 0.500 0.262 0.500
3 Th 0.500 0.738 0.500
4 U 0.000 0.500 0.000
5 O 0.001 0.301 0.750
6 O 0.001 0.699 0.750
7 O 0.497 0.000 0.690
8 O 0.498 0.500 0.231
9 O 0.502 0.500 0.769
10 O 0.503 0.000 0.310
11 O 0.999 0.301 0.250
12 O 0.999 0.699 0.250

E_form (uncorrected)   -3517 kJ/mol of formula units
E   -103.21 eV/cell

(10)
A plane-wave DFT calculation with PBE-GGA was carried out for CrTeSeI2 after structural relaxation.

Cell: 6.196 6.196 4.926 Å, 90.00 90.00 90.00°
Atoms (fractional coordinates):
1 Cr 0.000 0.000 0.000
2 Te 0.000 0.000 0.500
3 Se 0.500 0.500 0.000
4 I 0.000 0.500 0.500
5 I 0.500 0.000 0.500

E_form (uncorrected)   570 kJ/mol of formula units
E   -13.44 eV/cell
ΔE to the lowest computed polymorph   0.611 eV per atom

(11)
A plane-wave DFT calculation with PBE-GGA was carried out for TlBiAsSe2 after structural relaxation.

Cell: 5.644 5.644 5.540 Å, 90.00 90.00 90.00°
Atoms (fractional coordinates):
1 Tl 0.000 0.000 0.000
2 Bi 0.500 0.500 0.500
3 As 0.500 0.500 0.000
4 Se 0.000 0.500 0.500
5 Se 0.500 0.000 0.500

E_form (uncorrected)   169 kJ/mol of formula units
E   -16.11 eV/cell
ΔE to the lowest computed polymorph   0.000 eV per atom

(12)
A plane-wave DFT calculation with PBE-GGA was carried out for CdP after structural relaxation.

Cell: 4.407 4.407 4.145 Å, 90.00 90.00 90.00°
Atoms (fractional coordinates):
1 Cd 0.250 0.750 0.000
2 Cd 0.750 0.250 0.000
3 P 0.250 0.250 0.406
4 P 0.750 0.750 0.594

E   -10.94 eV/cell
Formation energy from the elements   426.3 meV per atom
ΔE to the lowest computed polymorph   0.468 eV per atom

Number 1: magnetization 0.3 Bohr magnetons per cell. Number 2: magnetization 0.0 Bohr magnetons per cell. Number 3: magnetization 0.0 Bohr magnetons per cell. Number 4: magnetization 0.0 Bohr magnetons per cell. Number 5: magnetization 0.0 Bohr magnetons per cell. Number 6: magnetization 0.0 Bohr magnetons per cell. Number 7: magnetization 0.4 Bohr magnetons per cell. Number 8: magnetization 2.0 Bohr magnetons per cell. Number 9: magnetization 1.0 Bohr magnetons per cell. Number 10: magnetization 0.4 Bohr magnetons per cell. Number 11: magnetization 1.6 Bohr magnetons per cell. Number 12: magnetization 0.0 Bohr magnetons per cell.